Density functional theory data (PBE) for crystalline Be8NbMo3 at its relaxed geometry.

Properties
The value obtained for the total magnetic moment is 0.00 Bohr magnetons per cell. The energy relative to the elements comes out at -309 meV per atom.

a b c (Å): 4.4961 4.4961 7.3644
angles (deg): 90.00 90.00 120.00
With the nearest neighbours (Å) after each atom.
Space group P3m1 (No. 156)
Unique sites:
Be1 0.0000 0.0000 0.0000  6 Be 2.25-2.26
Be2 0.0000 0.0000 0.4993  6 Be 2.27-2.29
Be3 0.1704 0.3408 0.7533  6 Be 2.20-2.30
Be4 0.3395 0.1698 0.2483  6 Be 2.21-2.29
Nb1 0.6667 0.3333 0.5656  12 Be 2.64-2.66, 4 Mo 2.76-2.78
Mo1 0.3333 0.6667 0.0640  12 Be 2.62-2.64, 4 Mo 2.71-2.75
Mo2 0.3333 0.6667 0.4321  12 Be 2.62-2.68, 1 Mo 2.71, 3 Nb 2.78
Mo3 0.6667 0.3333 0.9409  12 Be 2.60-2.64, 3 Mo 2.75, 1 Nb 2.76